First-principles (PBE) data for crystalline SmLu2Mg at its relaxed geometry, as listed in the Alexandria database.

Cell: 3.5449 3.5449 9.2305 Å, 90.00 90.00 90.00°
Last column: nearest neighbours and their distance in Å.
Fractional positions:
Mg 0.5000 0.5000 0.0000  8 Lu 3.30, 4 Mg 3.54
Lu 0.0000 0.0000 0.7679  4 Mg 3.30, 4 Sm 3.52, 4 Lu 3.54
Lu 0.0000 0.0000 0.2321  4 Mg 3.30, 4 Sm 3.52, 4 Lu 3.54
Sm 0.5000 0.5000 0.5000  8 Lu 3.52, 4 Sm 3.54

Summary:
The formation energy comes out at -0.0182 eV per atom. Its symmetry is P4/mmm, No. 123. As for the raw total energy: -3.857 eV/atom.


First-principles (PBE) data for crystalline Li6HgBi2 at its relaxed geometry, as listed in the Alexandria database.

Cell: 3.3021 7.8498 8.3733 Å, 117.95 99.63 90.00°
Last column: nearest neighbours and their distance in Å.
Fractional positions:
Li 0.6789 0.3498 0.3385  2 Li 2.72-2.83, 3 Bi 2.92-3.02
Li 0.3210 0.6502 0.6615  2 Li 2.72-2.83, 3 Bi 2.92-3.02
Li 0.3210 0.0113 0.6615  2 Li 2.72-2.83, 3 Bi 2.92-3.02
Li 0.5000 0.6708 0.0000  3 Li 2.68-2.72
Li 0.5000 0.3292 0.0000  3 Li 2.68-2.72
Li 0.6790 0.9887 0.3385  2 Li 2.72-2.83, 3 Bi 2.92-3.02
Hg 0.0000 0.0000 0.0000  12 Li 3.07-3.34, 2 Hg 3.30
Bi 0.8383 0.3448 0.6897  10 Li 2.92-3.15
Bi 0.1617 0.6552 0.3103  10 Li 2.92-3.15

Summary:
The formation energy comes out at -0.3573 eV per atom. Its symmetry is C2/m, No. 12. As for the raw total energy: -2.529 eV/atom.


First-principles (PBE) data for crystalline Cs3Ag2I7 at its relaxed geometry, as listed in the Alexandria database.

Cell: 5.8199 5.9736 15.2302 Å, 101.31 90.00 90.00°
Last column: nearest neighbours and their distance in Å.
Fractional positions:
Cs 0.5000 0.5000 0.0000  12 I 4.04-4.17
Cs 0.5000 0.6820 0.3641  8 I 3.93-4.19
Cs 0.5000 0.3180 0.6359  8 I 3.93-4.19
Ag 0.0000 0.9007 0.8014  6 I 2.91-2.99
Ag 0.0000 0.0993 0.1986  6 I 2.91-2.99
I 0.0000 0.4062 0.8125  2 Ag 2.99
I 0.0000 0.8032 0.6064  1 Ag 2.91
I 0.0000 0.0000 0.0000  2 Ag 2.97
I 0.0000 0.5938 0.1875  2 Ag 2.99
I 0.5000 0.0939 0.1878  2 Ag 2.91
I 0.5000 0.9061 0.8122  2 Ag 2.91
I 0.0000 0.1968 0.3936  1 Ag 2.91

Summary:
Its symmetry is Cmmm, No. 65. As for the raw total energy: -2.421 eV/atom.


First-principles (PBE) data for crystalline Co2HRh at its relaxed geometry, as listed in the Alexandria database.

Cell: 3.9701 3.9701 3.9701 Å, 60.00 60.00 60.00°
Last column: nearest neighbours and their distance in Å.
Fractional positions:
Co 0.2500 0.2500 0.2500  4 H 2.43, 4 Rh 2.43
Co 0.7500 0.7500 0.7500  4 H 2.43, 4 Rh 2.43
Rh 0.5000 0.5000 0.5000  8 Co 2.43
H 0.0000 0.0000 0.0000  8 Co 2.43

Summary:
Its symmetry is Fm-3m, No. 225. As for the raw total energy: -5.546 eV/atom.


First-principles (PBE) data for crystalline CoH2Au at its relaxed geometry, as listed in the Alexandria database.

Cell: 3.7027 3.7027 3.7027 Å, 60.00 60.00 60.00°
Last column: nearest neighbours and their distance in Å.
Fractional positions:
Co 0.0000 0.0000 0.0000  8 H 2.27
Au 0.5000 0.5000 0.5000  8 H 2.27
H 0.2500 0.2500 0.2500  4 Co 2.27, 4 Au 2.27
H 0.7500 0.7500 0.7500  4 Co 2.27, 4 Au 2.27

Summary:
Its symmetry is Fm-3m, No. 225. As for the raw total energy: -3.566 eV/atom.


First-principles (PBE) data for crystalline PmSmCd5 at its relaxed geometry, as listed in the Alexandria database.

Cell: 5.2177 5.2177 6.9855 Å, 90.00 90.00 90.00°
Last column: nearest neighbours and their distance in Å.
Fractional positions:
Pm 0.0000 0.0000 0.5000  8 Cd 3.20
Sm 0.5000 0.5000 0.0000  8 Cd 3.08
Cd 0.0000 0.5000 0.7646  2 Sm 3.08, 2 Pm 3.20, 3 Cd 3.20-3.29
Cd 0.0000 0.5000 0.2354  2 Sm 3.08, 2 Pm 3.20, 3 Cd 3.20-3.29
Cd 0.5000 0.0000 0.7646  2 Sm 3.08, 3 Cd 3.20-3.29, 2 Pm 3.20
Cd 0.5000 0.0000 0.2354  2 Sm 3.08, 3 Cd 3.20-3.29, 2 Pm 3.20
Cd 0.5000 0.5000 0.5000  8 Cd 3.20, 2 Sm 3.49

Summary:
The formation energy comes out at -0.1247 eV per atom. Its symmetry is P4/mmm, No. 123. As for the raw total energy: -2.131 eV/atom.


First-principles (PBE) data for crystalline CsLaSe2 at its relaxed geometry, as listed in the Alexandria database.

Cell: 21.1090 8.0457 8.0457 Å, 89.99 106.36 73.64°
Last column: nearest neighbours and their distance in Å.
Fractional positions:
Cs 0.0792 0.1905 0.1849  4 Se 3.54-3.93, 1 Cs 3.95
Cs 0.4208 0.6849 0.6905  4 Se 3.54-3.93, 1 Cs 3.95
Cs 0.9208 0.8095 0.8151  4 Se 3.54-3.93, 1 Cs 3.95
Cs 0.5792 0.3151 0.3095  4 Se 3.54-3.93, 1 Cs 3.95
Cs 0.4155 0.1794 0.6868  4 Se 3.48-3.87
Cs 0.0845 0.1868 0.6794  4 Se 3.48-3.87
Cs 0.5845 0.8206 0.3132  4 Se 3.48-3.87
Cs 0.9155 0.8132 0.3206  4 Se 3.48-3.87
Se 0.0681 0.7007 0.6627  2 La 2.84-2.98
Se 0.4319 0.1627 0.2007  2 La 2.84-2.98
Se 0.9319 0.2993 0.3373  2 La 2.84-2.98
Se 0.5681 0.8373 0.7993  2 La 2.84-2.98
Se 0.7489 0.2009 0.1715  4 La 3.09-3.17
Se 0.7511 0.6715 0.7009  4 La 3.09-3.17
Se 0.2511 0.7991 0.8285  4 La 3.09-3.17
Se 0.2489 0.3285 0.2991  4 La 3.09-3.17
Se 0.4334 0.6938 0.2019  2 La 2.85-3.01
Se 0.0666 0.7019 0.1938  2 La 2.85-3.01
Se 0.5666 0.3062 0.7981  2 La 2.85-3.01
Se 0.9334 0.2981 0.8062  2 La 2.85-3.01
Se 0.7500 0.1993 0.6993  4 La 3.09-3.16
Se 0.2500 0.8007 0.3007  4 La 3.09-3.16
Se 0.7500 0.6713 0.1713  4 La 3.10-3.16
Se 0.2500 0.3287 0.8287  4 La 3.10-3.16
La 0.3360 0.5010 0.1285  6 Se 2.84-3.17
La 0.1640 0.6285 0.0010  6 Se 2.84-3.17
La 0.6640 0.4990 0.8715  6 Se 2.84-3.17
La 0.8360 0.3715 0.9990  6 Se 2.84-3.17
La 0.3122 0.0180 0.1106  6 Se 2.98-3.10
La 0.1878 0.6106 0.5180  6 Se 2.98-3.10
La 0.6878 0.9820 0.8894  6 Se 2.98-3.10
La 0.8122 0.3894 0.4820  6 Se 2.98-3.10

Summary:
Its symmetry is C2/c, No. 15. As for the raw total energy: -4.819 eV/atom.


First-principles (PBE) data for crystalline NdScCdIr at its relaxed geometry, as listed in the Alexandria database.

Cell: 5.0026 5.0026 5.0026 Å, 60.00 60.00 60.00°
Last column: nearest neighbours and their distance in Å.
Fractional positions:
Sc 0.0000 0.0000 0.0000  4 Ir 3.06, 4 Cd 3.06
Ir 0.2500 0.2500 0.2500  4 Nd 3.06, 4 Sc 3.06
Nd 0.5000 0.5000 0.5000  4 Cd 3.06, 4 Ir 3.06
Cd 0.7500 0.7500 0.7500  4 Nd 3.06, 4 Sc 3.06

Summary:
The formation energy comes out at -0.4372 eV per atom. Its symmetry is F-43m, No. 216. As for the raw total energy: -5.656 eV/atom.